[1]
# AlTc3, optimized geometry, DFT GGA-PBE
data_AlTc3
_cell_length_a 2.7856
_cell_length_b 2.7856
_cell_length_c 26.1081
_cell_angle_alpha 90.00
_cell_angle_beta 90.00
_cell_angle_gamma 120.00
_space_group_name_H-M_alt 'R -3 m'
_space_group_IT_number 166
_space_group_name_Hall '-R 3 2"'
loop_
_atom_site_label
_atom_site_type_symbol
_atom_site_fract_x
_atom_site_fract_y
_atom_site_fract_z
_atom_site_occupancy
Al1 Al 0.0000 0.0000 0.0000 1
Tc1 Tc 0.0000 0.0000 0.2496 1
Tc2 Tc 0.0000 0.0000 0.5000 1
# Energy of formation from the pure elements ... -0.0858 eV per atom

***

[2]
# Al2Tc, optimized geometry, DFT GGA-PBE
data_Al2Tc
_cell_length_a 3.020
_cell_length_b 3.020
_cell_length_c 21.463
_cell_angle_alpha 90.00
_cell_angle_beta 90.00
_cell_angle_gamma 90.00
_space_group_name_H-M_alt 'I 41/a m d'
_space_group_IT_number 141
loop_
_space_group_symop_operation_xyz
'x,y,z'
'-x,-y,-z'
'-y+1/4,x+3/4,z+1/4'
'y+1/4,-x+3/4,-z+1/4'
'-x+1/2,-y,z+1/2'
'x+1/2,y,-z+1/2'
'y+1/4,-x+1/4,z+3/4'
'-y+1/4,x+1/4,-z+3/4'
'x,-y,-z'
'-x,y,z'
'-y+1/4,-x+1/4,-z+3/4'
'y+1/4,x+1/4,z+3/4'
'-x+1/2,y,-z+1/2'
'x+1/2,-y,z+1/2'
'y+1/4,x+3/4,-z+1/4'
'-y+1/4,-x+3/4,z+1/4'
'x+1/2,y+1/2,z+1/2'
'-x+1/2,-y+1/2,-z+1/2'
'-y+3/4,x+1/4,z+3/4'
'y+3/4,-x+1/4,-z+3/4'
'-x,-y+1/2,z'
'x,y+1/2,-z'
'y+3/4,-x+3/4,z+1/4'
'-y+3/4,x+3/4,-z+1/4'
'x+1/2,-y+1/2,-z+1/2'
'-x+1/2,y+1/2,z+1/2'
'-y+3/4,-x+3/4,-z+1/4'
'y+3/4,x+3/4,z+1/4'
'-x,y+1/2,-z'
'x,-y+1/2,z'
'y+3/4,x+1/4,-z+3/4'
'-y+3/4,-x+1/4,z+3/4'
loop_
_atom_site_label
_atom_site_type_symbol
_atom_site_fract_x
_atom_site_fract_y
_atom_site_fract_z
_atom_site_occupancy
Al1 Al 0.000 0.250 0.306 1
Tc1 Tc 0.000 0.250 0.875 1
# Energy of formation from the pure elements ... -0.1224 eV per atom
# Relative energy among the computed polymorphs ... 350 meV per atom

***

[3]
# Al4Tc, optimized geometry, DFT GGA-PBE
data_Al4Tc
_cell_length_a 3.501
_cell_length_b 3.501
_cell_length_c 13.476
_cell_angle_alpha 90.00
_cell_angle_beta 90.00
_cell_angle_gamma 90.00
_space_group_name_H-M_alt 'I 4/m m m'
_space_group_IT_number 139
_space_group_name_Hall '-I 4 2'
loop_
_atom_site_label
_atom_site_type_symbol
_atom_site_fract_x
_atom_site_fract_y
_atom_site_fract_z
_atom_site_occupancy
Al1 Al 0.000 0.000 0.092 1
Al2 Al 0.000 0.500 0.250 1
Tc1 Tc 0.000 0.000 0.500 1
# Energy of formation from the pure elements ... 0.2534 eV per atom
# Relative energy among the computed polymorphs ... 631 meV per atom

***

[4]
# Al2Tc, optimized geometry, DFT GGA-PBE
data_Al2Tc
_cell_length_a 3.201
_cell_length_b 3.201
_cell_length_c 8.518
_cell_angle_alpha 90.00
_cell_angle_beta 90.00
_cell_angle_gamma 90.00
_space_group_name_H-M_alt 'I 4/m m m'
_space_group_IT_number 139
_space_group_name_Hall '-I 4 2'
loop_
_atom_site_label
_atom_site_type_symbol
_atom_site_fract_x
_atom_site_fract_y
_atom_site_fract_z
_atom_site_occupancy
Al1 Al 0.000 0.000 0.158 1
Tc1 Tc 0.000 0.000 0.500 1
# Energy of formation from the pure elements ... -0.4057 eV per atom
# Relative energy among the computed polymorphs ... 67 meV per atom

***

[5]
# AlTc3, optimized geometry, DFT GGA-PBE
data_AlTc3
_cell_length_a 3.876
_cell_length_b 3.876
_cell_length_c 3.876
_cell_angle_alpha 90.00
_cell_angle_beta 90.00
_cell_angle_gamma 90.00
_space_group_name_H-M_alt 'P m -3 m'
_space_group_IT_number 221
_space_group_name_Hall '-P 4 2 3'
loop_
_atom_site_label
_atom_site_type_symbol
_atom_site_fract_x
_atom_site_fract_y
_atom_site_fract_z
_atom_site_occupancy
Al1 Al 0.000 0.000 0.000 1
Tc1 Tc 0.000 0.500 0.500 1
# Energy of formation from the pure elements ... 0.0436 eV per atom

***

[6]
# Al3Tc, optimized geometry, DFT GGA-PBE
data_Al3Tc
_cell_length_a 2.8980
_cell_length_b 2.8980
_cell_length_c 25.8822
_cell_angle_alpha 90.00
_cell_angle_beta 90.00
_cell_angle_gamma 120.00
_space_group_name_H-M_alt 'R -3 m'
_space_group_IT_number 166
_space_group_name_Hall '-R 3 2"'
loop_
_atom_site_label
_atom_site_type_symbol
_atom_site_fract_x
_atom_site_fract_y
_atom_site_fract_z
_atom_site_occupancy
Al1 Al 0.0000 0.0000 0.0000 1
Al2 Al 0.0000 0.0000 0.2439 1
Tc1 Tc 0.0000 0.0000 0.5000 1
# Energy of formation from the pure elements ... -0.1395 eV per atom